Entry 1:
# La5PaN5

A geometry-optimized La5PaN5 structure (PBE, Alexandria via LeMat-Bulk).

```
11
Lattice="5.8506 -2.6053 0.0000 5.8506 2.6053 0.0000 -2.3926 0.0000 6.9827" Properties=species:S:1:pos:R:3 pbc="T T T"
La 0.0000 0.0000 0.0000
La 3.3944 0.0000 1.2151
La 2.2819 0.0000 4.6015
La 7.0267 0.0000 2.3812
La 5.9141 0.0000 5.7676
Pa -1.1963 0.0000 3.4913
N -0.1952 0.0000 5.5550
N 0.9412 0.0000 2.4390
N 4.6543 0.0000 3.4913
N 8.3674 0.0000 4.5437
N 9.5037 0.0000 1.4276
```

* formation energy without anion corrections: -1.29 eV per atom
* spin magnetization: 0.0 μB/f.u.
* SG: No. 12


Entry 2:
# MnSi4Tc2

A geometry-optimized MnSi4Tc2 structure (PBE, Alexandria via LeMat-Bulk).

```
7
Lattice="-2.1149 2.1149 6.1111 2.1149 -2.1149 6.1111 2.1149 2.1149 -6.1111" Properties=species:S:1:pos:R:3 pbc="T T T"
Mn 0.0000 0.0000 0.0000
Si 2.1149 0.0000 0.0000
Si 0.0000 0.0000 2.3506
Si 0.0000 2.1149 0.0000
Si 0.0000 0.0000 9.8715
Tc 0.0000 0.0000 4.7256
Tc 0.0000 0.0000 7.4965
```

* formation energy without anion corrections: 0.44 eV per atom
* spin magnetization: 0.9 μB/f.u.
* SG: No. 139